# Hf2MnInCu

Hf2MnInCu at its PBEsol-relaxed geometry (SCAN, Alexandria).

abc: 4.471 4.772 4.772
angles: 90.00 90.00 90.00
Last column: magnetic moment on the atom in μB.
Atoms (fractional coordinates):
Mn  0.500  0.000  0.000  3.90
Hf  0.000  0.000  0.500  -0.26
Hf  0.000  0.500  0.000  -0.26
Cu  0.000  0.000  0.000  0.00
In  0.500  0.500  0.500  -0.06

Summary:
* ΔE_f: 1.33 eV per formula unit
* symmetry: P4/mmm
* DOS at the Fermi energy: 3.06 states/eV/f.u.
* DFT total energy: -190.9 eV per cell

---

# RbTi2BiCl

RbTi2BiCl at its PBEsol-relaxed geometry (SCAN, Alexandria).

abc: 5.236 5.236 7.389
angles: 90.00 90.00 90.00
Last column: magnetic moment on the atom in μB.
Atoms (fractional coordinates):
Cl  0.000  0.000  0.500  0.00
Bi  0.000  0.000  0.000  -0.10
Rb  0.500  0.500  0.500  0.01
Ti  0.000  0.500  0.000  1.81
Ti  0.500  0.000  0.000  1.81

Summary:
* symmetry: P4/mmm
* DOS at the Fermi energy: 1.08 states/eV/f.u.
* raw formation energy: 0.216 eV/atom
* DFT total energy: -138.3 eV per cell

---

# Ca2PbW

Ca2PbW at its PBEsol-relaxed geometry (SCAN, Alexandria).

abc: 3.033 5.818 5.818
angles: 114.70 90.00 90.00
Atoms (fractional coordinates):
Pb  0.500  0.000  0.000
Ca  0.000  0.500  0.000
Ca  0.000  0.000  0.500
W  0.500  0.500  0.500

Summary:
* ΔE_f: 2.35 eV per formula unit
* symmetry: Cmmm
* DOS at the Fermi energy: 4.78 states/eV/f.u.
* DFT total energy: -162.4 eV per cell

---

# NaNb4Tl3P2O17

NaNb4Tl3P2O17 at its PBEsol-relaxed geometry (SCAN, Alexandria).

abc: 7.411 9.905 11.813
angles: 114.79 90.00 90.00
Atoms (fractional coordinates):
Na  0.000  0.629  0.000
Na  0.500  0.629  0.000
Nb  0.500  0.041  0.694
Nb  0.250  0.150  0.473
Nb  0.000  0.041  0.694
Nb  0.500  0.999  0.000
Nb  0.000  0.347  0.306
Nb  0.000  0.999  0.000
Nb  0.500  0.347  0.306
Nb  0.750  0.677  0.527
Tl  0.750  0.968  0.274
Tl  0.750  0.315  0.604
Tl  0.250  0.712  0.396
Tl  0.750  0.307  0.944
Tl  0.250  0.363  0.056
Tl  0.250  0.694  0.726
P  0.750  0.583  0.228
P  0.250  0.859  0.177
P  0.250  0.355  0.772
P  0.750  0.683  0.823
O  0.250  0.418  0.297
O  0.250  0.519  0.862
O  0.576  0.775  0.876
O  0.044  0.191  0.129
O  0.939  0.530  0.454
O  0.456  0.191  0.129
O  0.250  0.940  0.942
O  0.921  0.486  0.211
O  0.561  0.530  0.454
O  0.924  0.775  0.876
O  0.250  0.992  0.711
O  0.750  0.120  0.703
O  0.061  0.076  0.546
O  0.932  0.840  0.605
O  0.750  0.998  0.058
O  0.421  0.275  0.789
O  0.750  0.544  0.849
O  0.544  0.063  0.871
O  0.424  0.898  0.124
O  0.076  0.898  0.124
O  0.750  0.635  0.680
O  0.250  0.340  0.633
O  0.250  0.696  0.151
O  0.750  0.282  0.289
O  0.068  0.235  0.395
O  0.956  0.063  0.871
O  0.750  0.657  0.138
O  0.579  0.486  0.211
O  0.432  0.235  0.395
O  0.568  0.840  0.605
O  0.439  0.076  0.546
O  0.250  0.955  0.320
O  0.079  0.275  0.789
O  0.750  0.706  0.367

Summary:
* symmetry: Ama2
* DOS at the Fermi energy: 0.00 states/eV/f.u.
* raw formation energy: -2.421 eV/atom
* DFT total energy: -1091.8 eV per cell

---

# Pr2CdCu2

Pr2CdCu2 at its PBEsol-relaxed geometry (SCAN, Alexandria).

abc: 4.448 5.572 5.572
angles: 64.11 66.48 66.48
Atoms (fractional coordinates):
Pr  0.793  0.707  0.707
Pr  0.207  0.293  0.293
Cu  0.500  0.291  0.709
Cu  0.500  0.709  0.291
Cd  0.000  0.000  0.000

Summary:
* ΔE_f: -1.31 eV per formula unit
* symmetry: Immm
* DOS at the Fermi energy: 3.42 states/eV/f.u.
* DFT total energy: -148.8 eV per cell

---

# NaZnP2S

NaZnP2S at its PBEsol-relaxed geometry (SCAN, Alexandria).

abc: 4.586 4.586 4.938
angles: 90.00 90.00 90.00
Last column: magnetic moment on the atom in μB.
Atoms (fractional coordinates):
P  0.000  0.500  0.000  -0.23
P  0.500  0.000  0.000  -0.23
Zn  0.000  0.000  0.000  0.00
S  0.000  0.000  0.500  -0.13
Na  0.500  0.500  0.500  0.00

Summary:
* symmetry: P4/mmm
* DOS at the Fermi energy: 3.33 states/eV/f.u.
* raw formation energy: 0.436 eV/atom
* DFT total energy: -46.0 eV per cell
* relative energy among the computed polymorphs: 0.000 eV/atom

---

Q: The highest DFT total energy belongs to which entry?
A: NaZnP2S